# 1
# ZnIn4, optimized geometry, DFT GGA-PBE
# total moment	0.00	μB per formula unit
# polymorph energy (0 for the lowest one)	0.180	eV per atom
# formation enthalpy at 0 K	22.22	kJ per mole of atoms
# total energy	-2.215	eV per atom
data_ZnIn4
_chemical_formula_sum 'Zn1 In4'
_cell_length_a 5.2666
_cell_length_b 5.2666
_cell_length_c 5.2666
_cell_angle_alpha 90.00
_cell_angle_beta 90.00
_cell_angle_gamma 90.00
_space_group_name_H-M_alt 'P m -3 m'
_space_group_IT_number 221
_space_group_name_Hall '-P 4 2 3'
loop_
_atom_site_label
_atom_site_type_symbol
_atom_site_fract_x
_atom_site_fract_y
_atom_site_fract_z
Zn1 Zn 0.0000 0.0000 0.0000
In1 In 0.0000 0.0000 0.5000
In2 In 0.5000 0.5000 0.5000

# 2
# ZnIn2, optimized geometry, DFT GGA-PBE
# total moment	0.00	μB per formula unit
# formation enthalpy at 0 K	7.50	kJ per mole of atoms
# total energy	-2.173	eV per atom
data_ZnIn2
_chemical_formula_sum 'Zn4 In8'
_cell_length_a 3.2498
_cell_length_b 3.2666
_cell_length_c 26.7249
_cell_angle_alpha 90.00
_cell_angle_beta 90.00
_cell_angle_gamma 90.00
_space_group_name_H-M_alt 'I m m a'
_space_group_IT_number 74
_space_group_name_Hall '-I 2b 2'
loop_
_atom_site_label
_atom_site_type_symbol
_atom_site_fract_x
_atom_site_fract_y
_atom_site_fract_z
Zn1 Zn 0.0000 0.2500 0.1249
In1 In 0.0000 0.2500 0.5521
In2 In 0.0000 0.2500 0.6978

# 3
# Zn11In, optimized geometry, DFT GGA-PBE
# total moment	0.00	μB per formula unit
# formation enthalpy at 0 K	3.87	kJ per mole of atoms
# total energy	-1.356	eV per atom
data_Zn11In
_chemical_formula_sum 'Zn44 In4'
_cell_length_a 10.8159
_cell_length_b 10.8159
_cell_length_c 6.8529
_cell_angle_alpha 90.00
_cell_angle_beta 90.00
_cell_angle_gamma 90.00
_space_group_name_H-M_alt 'I 41/a m d'
_space_group_IT_number 141
loop_
_space_group_symop_operation_xyz
'x,y,z'
'-x,-y,-z'
'-y+1/4,x+3/4,z+1/4'
'y+1/4,-x+3/4,-z+1/4'
'-x+1/2,-y,z+1/2'
'x+1/2,y,-z+1/2'
'y+1/4,-x+1/4,z+3/4'
'-y+1/4,x+1/4,-z+3/4'
'x,-y,-z'
'-x,y,z'
'-y+1/4,-x+1/4,-z+3/4'
'y+1/4,x+1/4,z+3/4'
'-x+1/2,y,-z+1/2'
'x+1/2,-y,z+1/2'
'y+1/4,x+3/4,-z+1/4'
'-y+1/4,-x+3/4,z+1/4'
'x+1/2,y+1/2,z+1/2'
'-x+1/2,-y+1/2,-z+1/2'
'-y+3/4,x+1/4,z+3/4'
'y+3/4,-x+1/4,-z+3/4'
'-x,-y+1/2,z'
'x,y+1/2,-z'
'y+3/4,-x+3/4,z+1/4'
'-y+3/4,x+3/4,-z+1/4'
'x+1/2,-y+1/2,-z+1/2'
'-x+1/2,y+1/2,z+1/2'
'-y+3/4,-x+3/4,-z+1/4'
'y+3/4,x+3/4,z+1/4'
'-x,y+1/2,-z'
'x,-y+1/2,z'
'y+3/4,x+1/4,-z+3/4'
'-y+3/4,-x+1/4,z+3/4'
loop_
_atom_site_label
_atom_site_type_symbol
_atom_site_fract_x
_atom_site_fract_y
_atom_site_fract_z
Zn1 Zn 0.0000 0.0000 0.0000
Zn2 Zn 0.0000 0.2500 0.8750
Zn3 Zn 0.1216 0.0456 0.6787
In1 In 0.0000 0.2500 0.3750

# 4
# ZnIn, optimized geometry, DFT GGA-PBE
# total moment	0.00	μB per formula unit
# formation enthalpy at 0 K	8.37	kJ per mole of atoms
# total energy	-1.919	eV per atom
data_ZnIn
_chemical_formula_sum 'Zn6 In6'
_cell_length_a 8.3937
_cell_length_b 8.3937
_cell_length_c 4.3217
_cell_angle_alpha 90.00
_cell_angle_beta 90.00
_cell_angle_gamma 120.00
_space_group_name_H-M_alt 'P 63/m m c'
_space_group_IT_number 194
_space_group_name_Hall '-P 6c 2c'
loop_
_atom_site_label
_atom_site_type_symbol
_atom_site_fract_x
_atom_site_fract_y
_atom_site_fract_z
Zn1 Zn 0.1209 0.5605 0.2500
In1 In 0.1599 0.3198 0.7500

# 5
# ZnIn, optimized geometry, DFT GGA-PBE
# total moment	0.00	μB per formula unit
# formation enthalpy at 0 K	9.05	kJ per mole of atoms
# total energy	-1.912	eV per atom
data_ZnIn
_chemical_formula_sum 'Zn4 In4'
_cell_length_a 11.3189
_cell_length_b 3.0692
_cell_length_c 5.1547
_cell_angle_alpha 90.00
_cell_angle_beta 107.61
_cell_angle_gamma 90.00
_space_group_name_H-M_alt 'C 1 2/m 1'
_space_group_IT_number 12
loop_
_space_group_symop_operation_xyz
'x,y,z'
'-x,-y,-z'
'-x,y,-z'
'x,-y,z'
'x+1/2,y+1/2,z'
'-x+1/2,-y+1/2,-z'
'-x+1/2,y+1/2,-z'
'x+1/2,-y+1/2,z'
loop_
_atom_site_label
_atom_site_type_symbol
_atom_site_fract_x
_atom_site_fract_y
_atom_site_fract_z
Zn1 Zn 0.1562 0.0000 0.3414
In1 In 0.1013 0.5000 0.8145

# 6
# Zn6In7, optimized geometry, DFT GGA-PBE
# total moment	0.00	μB per formula unit
# formation enthalpy at 0 K	21.76	kJ per mole of atoms
# total energy	-1.837	eV per atom
data_Zn6In7
_chemical_formula_sum 'Zn18 In21'
_cell_length_a 6.5125
_cell_length_b 6.5125
_cell_length_c 25.8383
_cell_angle_alpha 90.00
_cell_angle_beta 90.00
_cell_angle_gamma 120.00
_space_group_name_H-M_alt 'R -3 m'
_space_group_IT_number 166
_space_group_name_Hall '-R 3 2"'
loop_
_atom_site_label
_atom_site_type_symbol
_atom_site_fract_x
_atom_site_fract_y
_atom_site_fract_z
Zn1 Zn 0.0000 0.0000 0.0489
Zn2 Zn 0.0000 0.0000 0.1496
Zn3 Zn 0.0000 0.0000 0.3370
In1 In 0.0000 0.0000 0.5000
In2 In 0.0150 0.5075 0.9179

- The lowest formation enthalpy at 0 K belongs to which entry?
  Zn11In

- total moment of number 1 (ZnIn4)?
  0.00 μB per formula unit

- What is the total energy in the fifth record?
  -1.912 eV per atom